## one
# Mo2AsSe, single point on PBEsol structure, DFT SCAN
data_Mo2AsSe
_symmetry_space_group_name_H-M 'P m m m'
_symmetry_Int_Tables_number 47
_cell_length_a 3.096
_cell_length_b 4.030
_cell_length_c 5.138
_cell_angle_alpha 90.00
_cell_angle_beta 90.00
_cell_angle_gamma 90.00
loop_
_symmetry_equiv_pos_as_xyz
'x,y,z'
'-x,-y,-z'
'-x,-y,z'
'x,y,-z'
'x,-y,-z'
'-x,y,z'
'-x,y,-z'
'x,-y,z'
loop_
_atom_site_label
_atom_site_fract_x
_atom_site_fract_y
_atom_site_fract_z
Mo1 0.000 0.000 0.000
Mo2 0.500 0.000 0.500
As1 0.000 0.500 0.500
Se1 0.500 0.500 0.000
# spin magnetization = 0.00 μB/cell

=====

## two
# Mo2AsSe, single point on PBEsol structure, DFT SCAN
data_Mo2AsSe
_symmetry_space_group_name_H-M 'C 1 2/m 1'
_symmetry_Int_Tables_number 12
_cell_length_a 5.948
_cell_length_b 8.011
_cell_length_c 3.034
_cell_angle_alpha 90.00
_cell_angle_beta 117.35
_cell_angle_gamma 90.00
loop_
_symmetry_equiv_pos_as_xyz
'x,y,z'
'-x,-y,-z'
'-x,y,-z'
'x,-y,z'
'x+1/2,y+1/2,z'
'-x+1/2,-y+1/2,-z'
'-x+1/2,y+1/2,-z'
'x+1/2,-y+1/2,z'
loop_
_atom_site_label
_atom_site_fract_x
_atom_site_fract_y
_atom_site_fract_z
Mo1 0.250 0.250 0.000
As1 0.000 0.000 0.500
Se1 0.000 0.500 0.500
# spin magnetization = 0.00 μB/cell

=====

The structure with the greatest stability is one.

=====

## one
# SiMo2As, single point on PBEsol structure, DFT SCAN
data_SiMo2As
_symmetry_space_group_name_H-M 'I m m m'
_symmetry_Int_Tables_number 71
_symmetry_space_group_name_Hall '-I 2 2'
_cell_length_a 3.139
_cell_length_b 4.833
_cell_length_c 7.869
_cell_angle_alpha 90.00
_cell_angle_beta 90.00
_cell_angle_gamma 90.00
loop_
_atom_site_label
_atom_site_fract_x
_atom_site_fract_y
_atom_site_fract_z
Si1 0.000 0.000 0.000
Mo1 0.000 0.500 0.249
As1 0.000 0.000 0.500
# spin magnetization = 0.00 μB/cell

=====

## two
# SiMo2As, single point on PBEsol structure, DFT SCAN
data_SiMo2As
_symmetry_space_group_name_H-M 'R -3 m'
_symmetry_Int_Tables_number 166
_symmetry_space_group_name_Hall '-R 3 2"'
_cell_length_a 2.9352
_cell_length_b 2.9352
_cell_length_c 23.7682
_cell_angle_alpha 90.00
_cell_angle_beta 90.00
_cell_angle_gamma 120.00
loop_
_atom_site_label
_atom_site_fract_x
_atom_site_fract_y
_atom_site_fract_z
Si1 0.0000 0.0000 0.0000
Mo1 0.0000 0.0000 0.2496
As1 0.0000 0.0000 0.5000
# spin magnetization = 0.00 μB/cell

=====

## three
# SiMo2As, single point on PBEsol structure, DFT SCAN
data_SiMo2As
_symmetry_space_group_name_H-M 'I -4 2 d'
_symmetry_Int_Tables_number 122
_symmetry_space_group_name_Hall 'I -4 2bw'
_cell_length_a 3.774
_cell_length_b 3.774
_cell_length_c 17.817
_cell_angle_alpha 90.00
_cell_angle_beta 90.00
_cell_angle_gamma 90.00
loop_
_atom_site_label
_atom_site_fract_x
_atom_site_fract_y
_atom_site_fract_z
Si1 0.000 0.000 0.000
Mo1 0.249 0.250 0.125
As1 0.000 0.000 0.500
# spin magnetization = 0.00 μB/cell

=====

The structure with the greatest stability is two.